Record 1
DFT (PBEsol) results for a relaxed structure of LiCd2Pb.

Output
- Calculated total energy: -2.19 eV per atom

a b c (Å): 7.073 7.073 7.073
angles (deg): 90.00 90.00 90.00
Space group F-43m (No. 216)
Unique sites:
1 Li 0.000 0.000 0.000
2 Cd 0.000 0.000 0.500
3 Cd 0.250 0.250 0.750
4 Pb 0.250 0.250 0.250

=====

Record 2
DFT (PBEsol) results for a relaxed structure of TcBOs3.

Output
- Calculated total energy: -7.74 eV per atom

a b c (Å): 4.587 4.587 4.587
angles (deg): 90.00 90.00 90.00
Space group Pm-3m (No. 221)
Unique sites:
1 Tc 0.000 0.000 0.000
2 B 0.500 0.500 0.500
3 Os 0.000 0.000 0.500

=====

Record 3
DFT (PBEsol) results for a relaxed structure of LaZnPb2.

Output
- Calculated total energy: -4.04 eV per atom

a b c (Å): 4.523 4.552 10.264
angles (deg): 90.00 90.00 90.00
Space group Immm (No. 71)
Unique sites:
1 La 0.000 0.000 0.000
2 Zn 0.000 0.000 0.500
3 Pb 0.000 0.500 0.249

=====

Record 4
DFT (PBEsol) results for a relaxed structure of Y3Ag4.

Output
- Calculated total energy: -5.08 eV per atom

a b c (Å): 3.657 3.657 23.098
angles (deg): 90.00 90.00 90.00
Space group I4/mmm (No. 139)
Unique sites:
1 Y 0.000 0.000 0.000
2 Y 0.000 0.000 0.301
3 Ag 0.000 0.000 0.131
4 Ag 0.000 0.000 0.432

=====

Record 5
DFT (PBEsol) results for a relaxed structure of Al2Cr.

Output
- Calculated total energy: -6.17 eV per atom

a b c (Å): 9.329 3.097 5.915
angles (deg): 90.00 107.37 90.00
Space group C2/m (No. 12)
Unique sites:
1 Al 0.000 0.000 0.219
2 Al 0.167 0.500 0.589
3 Cr 0.185 0.500 0.084

=====

Record 6
DFT (PBEsol) results for a relaxed structure of Ca2LaRh.

Output
- Excess energy over the best structure of this formula in the dataset: 0.14 eV per formula unit

a b c (Å): 3.9758 3.9758 29.1643
angles (deg): 90.00 90.00 120.00
Space group R3m (No. 160, hexagonal axes)
Unique sites:
1 Ca 0.0000 0.0000 0.0000
2 Ca 0.0000 0.0000 0.2226
3 La 0.0000 0.0000 0.4425
4 Rh 0.0000 0.0000 0.7265

=====

Record 7
DFT (PBEsol) results for a relaxed structure of In2MoP.

Output
- Calculated total energy: -5.55 eV per atom

a b c (Å): 3.666 3.666 5.326
angles (deg): 90.00 90.00 90.00
Space group P4/mmm (No. 123)
Unique sites:
1 In 0.000 0.000 0.250
2 Mo 0.500 0.500 0.000
3 P 0.500 0.500 0.500

=====

Record 8
DFT (PBEsol) results for a relaxed structure of ZnFeAs2Br.

Output
- Formation energy without anion corrections: 0.37 eV/atom

a b c (Å): 4.415 4.415 5.194
angles (deg): 90.00 90.00 90.00
Space group P4/mmm (No. 123)
Unique sites:
1 Zn 0.000 0.000 0.000
2 Fe 0.500 0.500 0.500
3 As 0.000 0.500 0.500
4 Br 0.500 0.500 0.000

=====

Record 9
DFT (PBEsol) results for a relaxed structure of BeTlBr2.

Output
- Formation energy without anion corrections: -0.18 eV/atom
- Excess energy over the best structure of this formula in the dataset: 0.67 eV per formula unit

a b c (Å): 3.530 5.979 9.131
angles (deg): 90.00 90.00 90.00
Space group Imm2 (No. 44)
Unique sites:
1 Be 0.000 0.000 0.000
2 Tl 0.000 0.500 0.275
3 Br 0.000 0.000 0.469
4 Br 0.000 0.500 0.647

=====

Record 10
DFT (PBEsol) results for a relaxed structure of MnNiPt3.

Output
- Calculated total energy: -6.31 eV per atom

a b c (Å): 4.475 4.475 4.475
angles (deg): 90.00 90.00 90.00
Space group Pm-3m (No. 221)
Unique sites:
1 Mn 0.000 0.000 0.000
2 Ni 0.500 0.500 0.500
3 Pt 0.000 0.500 0.500

=====

Record 11
DFT (PBEsol) results for a relaxed structure of TlPtAu.

Output
- Calculated total energy: -4.22 eV per atom

a b c (Å): 6.322 6.322 6.322
angles (deg): 90.00 90.00 90.00
Space group F-43m (No. 216)
Unique sites:
1 Tl 0.000 0.000 0.000
2 Pt 0.000 0.000 0.500
3 Au 0.250 0.250 0.250

=====

Record 12
DFT (PBEsol) results for a relaxed structure of GaReNF2.

Output
- Formation energy without anion corrections: -0.60 eV/atom

a b c (Å): 4.178 4.178 3.816
angles (deg): 90.00 90.00 90.00
Space group P4/mmm (No. 123)
Unique sites:
1 Ga 0.000 0.000 0.000
2 Re 0.500 0.500 0.500
3 N 0.500 0.500 0.000
4 F 0.000 0.500 0.500

=====

no.,V (Å³ per cell)
1,353.8
2,96.5
3,211.3
4,308.9
5,163.1
6,399.2
7,71.6
8,101.3
9,192.7
10,89.6
11,252.6
12,66.6